Entry from the Alexandria database: DyMg5In4 after structural relaxation (PBE).

Computed properties:
- DFT formation energy: -0.053 eV/atom

Cell: 4.960 7.529 7.529 Å, 91.91 70.77 70.77°
Atoms (fractional coordinates):
Dy1 0.250 0.000 0.000
Mg1 0.578 0.444 0.899
Mg2 0.922 0.101 0.556
Mg3 0.750 0.500 0.500
Mg4 0.578 0.899 0.444
Mg5 0.922 0.556 0.101
In1 0.250 0.301 0.699
In2 0.508 0.242 0.242
In3 0.992 0.758 0.758
In4 0.250 0.699 0.301